First-principles (GGA-PBE) data for a relaxed structure of Ba3Ca2Bi4, as listed in Alexandria.

Unit cell a=9.6200 b=9.6200 c=7.9448 alpha=107.89 beta=107.89 gamma=32.41
Last column: nearest neighbours and their distance in Å.
Element x y z (fractional)
Ba: 0.0000 0.0000 0.0000  6 Bi 3.61-3.79
Ba: 0.1371 0.1371 0.5706  5 Bi 3.53-3.82
Ba: 0.8629 0.8629 0.4294  5 Bi 3.53-3.82
Ca: 0.3304 0.3304 0.9966  4 Bi 3.15-3.34
Ca: 0.6696 0.6696 0.0034  4 Bi 3.15-3.34
Bi: 0.2146 0.2146 0.2184  3 Ca 3.15-3.18
Bi: 0.4974 0.4974 0.6940  1 Bi 3.11, 1 Ca 3.34
Bi: 0.5026 0.5026 0.3060  1 Bi 3.11, 1 Ca 3.34
Bi: 0.7854 0.7854 0.7816  3 Ca 3.15-3.18

## Properties
- VASP energy (eV per cell) = -32.98
- SG = C2/m (12)
- E above lowest polymorph (eV per atom) = 0.0000
- energy of formation (eV per atom) = -0.854

First-principles (GGA-PBE) data for a relaxed structure of Ce2PmPrBi5, as listed in Alexandria.

Unit cell a=5.6035 b=5.6035 c=12.0915 alpha=90.00 beta=90.00 gamma=90.00
Last column: nearest neighbours and their distance in Å.
Element x y z (fractional)
Ce: 0.0000 0.0000 0.2212  1 Bi 3.37
Ce: 0.0000 0.0000 0.7788  1 Bi 3.37
Pm: 0.5000 0.5000 0.5000  2 Bi 2.97
Pr: 0.5000 0.5000 0.0000  6 Bi 2.80-3.08
Bi: 0.0000 0.0000 0.5000  2 Ce 3.37
Bi: 0.0000 0.5000 0.0000  2 Pr 2.80
Bi: 0.5000 0.0000 0.0000  2 Pr 2.80
Bi: 0.5000 0.5000 0.2545  1 Pm 2.97, 1 Pr 3.08
Bi: 0.5000 0.5000 0.7455  1 Pm 2.97, 1 Pr 3.08

## Properties
- VASP energy (eV per cell) = -40.74
- SG = P4/mmm (123)
- energy of formation (eV per atom) = 0.007

First-principles (GGA-PBE) data for a relaxed structure of SmDy2Mn, as listed in Alexandria.

Unit cell a=11.5462 b=11.5462 c=11.5462 alpha=16.98 beta=16.98 gamma=16.98
Last column: nearest neighbours and their distance in Å.
Element x y z (fractional)
Sm: 0.0000 0.0000 0.0000  6 Sm 3.41, 6 Dy 3.53
Dy: 0.4191 0.4191 0.4191  1 Mn 2.76
Dy: 0.5809 0.5809 0.5809  1 Mn 2.76
Mn: 0.5000 0.5000 0.5000  2 Dy 2.76

## Properties
- VASP energy (eV per cell) = -21.01
- SG = R-3m (166)
- E above lowest polymorph (eV per atom) = 0.3959
- energy of formation (eV per atom) = 0.521

First-principles (GGA-PBE) data for a relaxed structure of ZrZn2Pd, as listed in Alexandria.

Unit cell a=3.9543 b=3.9543 c=4.3586 alpha=90.00 beta=90.00 gamma=90.00
Last column: nearest neighbours and their distance in Å.
Element x y z (fractional)
Zr: 0.0000 0.0000 0.0000  4 Pd 2.80, 8 Zn 2.94
Zn: 0.0000 0.5000 0.5000  4 Zn 2.80, 4 Pd 2.94, 4 Zr 2.94
Zn: 0.5000 0.0000 0.5000  4 Zn 2.80, 4 Pd 2.94, 4 Zr 2.94
Pd: 0.5000 0.5000 0.0000  4 Zr 2.80, 8 Zn 2.94

## Properties
- VASP energy (eV per cell) = -17.62
- SG = P4/mmm (123)
- energy of formation (eV per atom) = -0.333

First-principles (GGA-PBE) data for a relaxed structure of Sc2RhBr, as listed in Alexandria.

Unit cell a=8.1972 b=8.1972 c=8.1972 alpha=27.77 beta=27.77 gamma=27.77
Last column: nearest neighbours and their distance in Å.
Element x y z (fractional)
Sc: 0.1120 0.1120 0.1120  3 Rh 2.61, 1 Br 2.65
Sc: 0.8880 0.8880 0.8880  3 Rh 2.61, 1 Br 2.65
Rh: 0.5000 0.5000 0.5000  6 Sc 2.61
Br: 0.0000 0.0000 0.0000  2 Sc 2.65

## Properties
- VASP energy (eV per cell) = -25.23
- SG = R-3m (166)
- E above lowest polymorph (eV per atom) = 0.0409
- formation energy without anion corrections (eV/atom) = -0.8849

First-principles (GGA-PBE) data for a relaxed structure of LiSe3, as listed in Alexandria.

Unit cell a=4.0212 b=4.0212 c=5.3986 alpha=90.00 beta=90.00 gamma=90.00
Last column: nearest neighbours and their distance in Å.
Element x y z (fractional)
Li: 0.0000 0.0000 0.0000  2 Se 2.70
Se: 0.0000 0.0000 0.5000  2 Li 2.70
Se: 0.5000 0.5000 0.2137  1 Se 2.31
Se: 0.5000 0.5000 0.7863  1 Se 2.31

## Properties
- VASP energy (eV per cell) = -12.76
- SG = P4/mmm (123)
- E above lowest polymorph (eV per atom) = 0.3449
- formation energy without anion corrections (eV/atom) = -0.0980

First-principles (GGA-PBE) data for a relaxed structure of Cr2CdHg, as listed in Alexandria.

Unit cell a=5.1508 b=5.1508 c=5.1508 alpha=133.77 beta=131.50 gamma=69.25
Last column: nearest neighbours and their distance in Å.
Element x y z (fractional)
Cr: 0.0000 0.0000 0.0000  4 Cr 2.84-3.08, 4 Cd 2.93, 4 Hg 2.96
Cr: 0.7647 0.2647 0.5000  4 Cr 2.84-3.08, 4 Hg 2.93, 4 Cd 2.96-2.97
Cd: 0.5101 0.5101 0.0000  8 Cr 2.93-2.97, 4 Hg 2.96
Hg: 0.2550 0.7550 0.5000  8 Cr 2.93-2.96, 4 Cd 2.96

## Properties
- VASP energy (eV per cell) = -18.87
- SG = Imm2 (44)
- E above lowest polymorph (eV per atom) = 0.1127
- energy of formation (eV per atom) = 0.399

First-principles (GGA-PBE) data for a relaxed structure of CsUO3, as listed in Alexandria.

Unit cell a=7.1180 b=4.3170 c=7.3770 alpha=90.00 beta=90.00 gamma=90.00
Last column: nearest neighbours and their distance in Å.
Element x y z (fractional)
Cs: 0.2500 0.0000 0.1947  2 O 2.92
Cs: 0.7500 0.0000 0.8053  2 O 2.92
U: 0.2500 0.5000 0.6654  5 O 1.94-2.16
U: 0.7500 0.5000 0.3346  5 O 1.94-2.16
O: 0.0000 0.5000 0.5000  2 U 2.16
O: 0.2500 0.0000 0.6618  2 U 2.16
O: 0.2500 0.5000 0.9287  1 U 1.94
O: 0.5000 0.5000 0.5000  2 U 2.16
O: 0.7500 0.0000 0.3382  2 U 2.16
O: 0.7500 0.5000 0.0713  1 U 1.94

## Properties
- VASP energy (eV per cell) = -80.31
- SG = Pmma (51)
- formation energy without anion corrections (eV/atom) = -2.6279

First-principles (GGA-PBE) data for a relaxed structure of ZnNi2Rh, as listed in Alexandria.

Unit cell a=8.4367 b=8.4367 c=8.4367 alpha=18.06 beta=18.06 gamma=18.06
Last column: nearest neighbours and their distance in Å.
Element x y z (fractional)
Zn: 0.0000 0.0000 0.0000  6 Ni 2.55, 6 Zn 2.65
Ni: 0.2514 0.2514 0.2514  3 Zn 2.55, 3 Rh 2.60, 6 Ni 2.65
Ni: 0.7486 0.7486 0.7486  3 Zn 2.55, 3 Rh 2.60, 6 Ni 2.65
Rh: 0.5000 0.5000 0.5000  6 Ni 2.60, 6 Rh 2.65

## Properties
- VASP energy (eV per cell) = -20.29
- SG = R-3m (166)
- energy of formation (eV per atom) = -0.025

First-principles (GGA-PBE) data for a relaxed structure of Hf2Sc3UN6, as listed in Alexandria.

Unit cell a=5.6306 b=5.6306 c=5.6001 alpha=99.48 beta=99.48 gamma=120.14
Last column: nearest neighbours and their distance in Å.
Element x y z (fractional)
Hf: 0.1669 0.8331 0.0000  6 N 2.28-2.29
Hf: 0.8331 0.1669 0.0000  6 N 2.28-2.29
Sc: 0.0000 0.0000 0.5000  6 N 2.31-2.32
Sc: 0.3303 0.6697 0.5000  6 N 2.29-2.34
Sc: 0.6697 0.3303 0.5000  6 N 2.29-2.34
U: 0.5000 0.5000 0.0000  6 N 2.26-2.29
N: 0.0845 0.4179 0.7524  2 Hf 2.28-2.29, 3 Sc 2.29-2.31, 1 U 2.29
N: 0.2486 0.2486 0.2425  1 U 2.26, 2 Hf 2.28, 3 Sc 2.32-2.34
N: 0.4179 0.0845 0.7524  2 Hf 2.28-2.29, 3 Sc 2.29-2.31, 1 U 2.29
N: 0.5821 0.9155 0.2476  2 Hf 2.28-2.29, 3 Sc 2.29-2.31, 1 U 2.29
N: 0.7514 0.7514 0.7575  1 U 2.26, 2 Hf 2.28, 3 Sc 2.32-2.34
N: 0.9155 0.5821 0.2476  2 Hf 2.28-2.29, 3 Sc 2.29-2.31, 1 U 2.29

## Properties
- VASP energy (eV per cell) = -121.67
- SG = C2/m (12)
- formation energy without anion corrections (eV/atom) = -1.7937

First-principles (GGA-PBE) data for a relaxed structure of CsRbHgBi, as listed in Alexandria.

Unit cell a=6.1377 b=6.1377 c=6.1377 alpha=60.00 beta=60.00 gamma=60.00
Last column: nearest neighbours and their distance in Å.
Element x y z (fractional)
Cs: 0.0000 0.0000 0.0000  4 Hg 3.76, 4 Rb 3.76
Rb: 0.2500 0.2500 0.2500  4 Bi 3.76, 4 Cs 3.76
Hg: 0.7500 0.7500 0.7500  4 Cs 3.76, 4 Bi 3.76
Bi: 0.5000 0.5000 0.5000  4 Hg 3.76, 4 Rb 3.76

## Properties
- VASP energy (eV per cell) = -6.91
- SG = F-43m (216)
- E above lowest polymorph (eV per atom) = 0.0468
- energy of formation (eV per atom) = -0.227

First-principles (GGA-PBE) data for a relaxed structure of KZr3Ru, as listed in Alexandria.

Unit cell a=5.1773 b=5.1773 c=5.1773 alpha=90.00 beta=90.00 gamma=90.00
Last column: nearest neighbours and their distance in Å.
Element x y z (fractional)
K: 0.0000 0.0000 0.0000  12 Zr 3.66
Zr: 0.0000 0.5000 0.5000  2 Ru 2.59
Zr: 0.5000 0.0000 0.5000  2 Ru 2.59
Zr: 0.5000 0.5000 0.0000  2 Ru 2.59
Ru: 0.5000 0.5000 0.5000  6 Zr 2.59

## Properties
- VASP energy (eV per cell) = -33.59
- SG = Pm-3m (221)
- E above lowest polymorph (eV per atom) = 0.0000
- energy of formation (eV per atom) = 0.486

What did we get for magnetization? Answer: 0.00; 0.23; 0.77; 0.00; 0.00; 0.00; 0.02; 0.20; 0.42; 0.00; 0.00; 0.00 μB/atom, in the order shown.